# SrSe2S | Alexandria via LeMat-Bulk | GGA-PBEsol | relaxed
data_SrSe2S
_chemical_formula_sum 'Sr2 Se4 S2'
_cell_length_a 5.723
_cell_length_b 5.723
_cell_length_c 8.535
_cell_angle_alpha 109.59
_cell_angle_beta 109.59
_cell_angle_gamma 90.00
_space_group_name_H-M_alt 'P 1'
_space_group_IT_number 1
_space_group_name_Hall 'P 1'
loop_
_atom_site_label
_atom_site_type_symbol
_atom_site_fract_x
_atom_site_fract_y
_atom_site_fract_z
Se1 Se 0.471 0.875 0.250
Se2 Se 0.779 0.375 0.250
Se3 Se 0.125 0.221 0.750
Se4 Se 0.625 0.529 0.750
Sr1 Sr 0.000 0.000 0.000
Sr2 Sr 0.250 0.750 0.500
S1 S 0.500 0.500 0.000
S2 S 0.750 0.250 0.500
# - space-group type = I-42d, No. 122
# - DOS at the Fermi energy (states/eV/cell) = 1.7
# - formation energy without anion corrections (eV per atom) = -0.564

=====

# Sr4Se3S | Alexandria via LeMat-Bulk | GGA-PBEsol | relaxed
data_Sr4Se3S
_chemical_formula_sum 'Sr4 Se3 S1'
_cell_length_a 4.345
_cell_length_b 4.345
_cell_length_c 14.423
_cell_angle_alpha 81.34
_cell_angle_beta 81.34
_cell_angle_gamma 60.00
_space_group_name_H-M_alt 'P 1'
_space_group_IT_number 1
_space_group_name_Hall 'P 1'
loop_
_atom_site_label
_atom_site_type_symbol
_atom_site_fract_x
_atom_site_fract_y
_atom_site_fract_z
S1 S 0.000 0.000 0.000
Sr1 Sr 0.627 0.627 0.119
Sr2 Sr 0.876 0.876 0.373
Sr3 Sr 0.373 0.373 0.881
Sr4 Sr 0.124 0.124 0.627
Se1 Se 0.251 0.251 0.246
Se2 Se 0.749 0.749 0.754
Se3 Se 0.500 0.500 0.500
# - space-group type = R-3m, No. 166
# - DOS at the Fermi energy (states/eV/cell) = 0.0
# - formation energy without anion corrections (eV per atom) = -2.095

=====

# Sr4SeS3 | Alexandria via LeMat-Bulk | GGA-PBEsol | relaxed
data_Sr4SeS3
_chemical_formula_sum 'Sr4 Se1 S3'
_cell_length_a 4.265
_cell_length_b 7.390
_cell_length_c 7.394
_cell_angle_alpha 99.62
_cell_angle_beta 90.00
_cell_angle_gamma 106.77
_space_group_name_H-M_alt 'P 1'
_space_group_IT_number 1
_space_group_name_Hall 'P 1'
loop_
_atom_site_label
_atom_site_type_symbol
_atom_site_fract_x
_atom_site_fract_y
_atom_site_fract_z
Sr1 Sr 0.129 0.257 0.371
Sr2 Sr 0.374 0.749 0.119
Sr3 Sr 0.626 0.251 0.881
Sr4 Sr 0.871 0.743 0.629
Se1 Se 0.500 0.000 0.500
S1 S 0.000 0.000 0.000
S2 S 0.249 0.497 0.751
S3 S 0.751 0.503 0.249
# - space-group type = C2/m, No. 12
# - DOS at the Fermi energy (states/eV/cell) = 0.0
# - formation energy without anion corrections (eV per atom) = -2.149